1.
Entry from Alexandria via LeMat-Bulk: crystalline La2Ge3AsPt4 at its relaxed geometry (PBE).

Cell and atoms, written as extended XYZ:
```
10
Lattice="4.479 0.000 0.000 0.000 4.479 0.000 0.000 0.000 9.944" Properties=species:S:1:pos:R:3 pbc="T T T"
La 0.000 2.240 2.469
La 2.240 0.000 7.475
Ge 0.000 0.000 0.000
Ge 0.000 2.240 6.237
Ge 2.240 0.000 3.707
As 2.240 2.240 0.000
Pt 0.000 0.000 4.972
Pt 0.000 2.240 8.726
Pt 2.240 0.000 1.218
Pt 2.240 2.240 4.972
```

Output
Energy relative to the elements in kJ/mol of atoms: -93
DOS at the Fermi energy in states/eV/atom: 0.73
Size of the total moment in μB/f.u.: 0.00

=====

2.
Entry from Alexandria via LeMat-Bulk: crystalline La2GeAsRh6 at its relaxed geometry (PBE).

Cell and atoms, written as extended XYZ:
```
20
Lattice="5.490 0.000 0.000 0.000 8.727 0.000 0.000 0.000 8.137" Properties=species:S:1:pos:R:3 pbc="T T T"
La 1.373 0.048 1.735
La 1.373 4.315 1.735
La 4.118 4.412 6.402
La 4.118 8.679 6.402
Ge 1.373 6.545 6.177
Ge 4.118 2.182 1.960
As 1.373 2.182 6.081
As 4.118 6.545 2.056
Rh 0.011 6.545 4.104
Rh 0.021 6.545 0.083
Rh 1.373 0.000 4.785
Rh 1.373 4.363 4.785
Rh 2.724 6.545 0.083
Rh 2.734 6.545 4.104
Rh 2.756 2.182 4.033
Rh 2.767 2.182 8.054
Rh 4.118 8.727 3.352
Rh 4.118 4.364 3.352
Rh 5.469 2.182 8.054
Rh 5.479 2.182 4.033
```

Output
Energy relative to the elements in kJ/mol of atoms: -62
DOS at the Fermi energy in states/eV/atom: 0.43
Size of the total moment in μB/f.u.: 0.00

=====

3.
Entry from Alexandria via LeMat-Bulk: crystalline LaGeAsRh3 at its relaxed geometry (PBE).

Cell and atoms, written as extended XYZ:
```
12
Lattice="2.864 -7.575 0.000 2.864 7.575 0.000 0.000 0.000 5.726" Properties=species:S:1:pos:R:3 pbc="T T T"
La 2.864 4.328 4.294
La 2.864 -4.328 1.431
Ge 2.864 1.395 1.431
Ge 2.864 -1.395 4.294
As 2.864 6.235 1.431
As 2.864 -6.235 4.294
Rh 2.864 3.825 1.431
Rh 1.427 0.000 0.000
Rh 1.427 0.000 2.863
Rh 4.302 0.000 0.000
Rh 4.302 0.000 2.863
Rh 2.864 -3.825 4.294
```

Output
Energy relative to the elements in kJ/mol of atoms: -70
DOS at the Fermi energy in states/eV/atom: 0.39
Size of the total moment in μB/f.u.: 0.00